# LaTl2I | Alexandria | PBE | optimized geometry
data_LaTl2I
_cell_length_a 5.7484
_cell_length_b 5.7484
_cell_length_c 5.7484
_cell_angle_alpha 60.00
_cell_angle_beta 60.00
_cell_angle_gamma 60.00
_space_group_name_H-M_alt 'P 1'
_space_group_IT_number 1
loop_
_space_group_symop_operation_xyz
'x,y,z'
loop_
_atom_site_label
_atom_site_type_symbol
_atom_site_fract_x
_atom_site_fract_y
_atom_site_fract_z
I1 I 0.0000 0.0000 0.0000
Tl1 Tl 0.2500 0.2500 0.2500
Tl2 Tl 0.7500 0.7500 0.7500
La1 La 0.5000 0.5000 0.5000
# **Crystal system**: cubic
# **E_tot**: -2.9000 eV/atom
# **Space-group type**: Fm-3m
# **Uncorrected formation energy**: -0.097 eV per atom
# **E above lowest polymorph**: 44 kJ/mol of formula units
# **Total moment**: 0.00 μB/f.u.